8
Lattice="2.674 1.544 5.198 -2.674 1.544 5.198 0.000 -3.088 5.198" Properties=species:S:1:pos:R:3 comment="Ti6PC PBE relaxed" spacegroup="No. 148" e_tot_ev_per_atom=-8.18 pbc="T T T"
Ti -1.720 -0.096 6.614
Ti -0.777 -1.538 8.980
Ti 0.943 -1.442 6.614
Ti -0.943 1.442 8.980
Ti 0.777 1.538 6.614
Ti 1.720 0.096 8.980
P 0.000 0.000 0.000
C 0.000 0.000 7.797



7
Lattice="-2.281 2.281 5.076 2.281 -2.281 5.076 2.281 2.281 -5.076" Properties=species:S:1:pos:R:3 comment="Ti4PC2 PBE relaxed" spacegroup="No. 139" relative_energy_ev_per_fu=5.47 pbc="T T T"
Ti 2.281 0.000 0.000
Ti 0.000 0.000 2.449
Ti 0.000 2.281 0.000
Ti 0.000 0.000 7.703
P 0.000 0.000 0.000
C 0.000 0.000 4.395
C 0.000 0.000 5.757



15
Lattice="4.633 -4.635 0.000 4.633 4.635 0.000 -4.496 0.000 4.637" Properties=species:S:1:pos:R:3 comment="Ti8P3C4 PBE relaxed" spacegroup="No. 12" e_tot_ev_per_atom=-8.47 pbc="T T T"
Ti -0.073 0.000 2.121
Ti -2.296 0.000 4.533
Ti 4.633 2.473 0.000
Ti 2.385 2.474 2.319
Ti 4.633 -2.473 0.000
Ti 2.385 -2.474 2.319
Ti 7.067 0.000 0.105
Ti 4.843 0.000 2.516
P 0.069 2.318 2.319
P 0.069 -2.318 2.319
P 2.385 0.000 2.319
C 0.000 0.000 0.000
C -2.248 0.000 2.319
C 2.317 2.318 0.000
C 2.317 -2.318 0.000



11
Lattice="-1.575 6.314 3.701 1.575 -6.314 3.701 1.575 6.314 -3.701" Properties=species:S:1:pos:R:3 comment="Ti7P2C2 PBE relaxed" spacegroup="No. 44" e_tot_ev_per_atom=-8.40 pbc="T T T"
Ti 0.000 0.000 0.000
Ti 1.575 4.746 -0.660
Ti 1.575 2.305 0.832
Ti 0.000 1.568 3.041
Ti 0.000 4.339 1.858
Ti 0.000 8.288 1.858
Ti 0.000 4.008 4.533
P 1.575 0.000 1.884
P 0.000 0.000 4.958
C 1.575 -3.093 3.126
C 1.575 3.093 3.126



13
Lattice="6.112 -3.042 0.000 6.112 3.042 0.000 -2.508 0.000 5.433" Properties=species:S:1:pos:R:3 comment="Ti8P3C2 PBE relaxed" spacegroup="No. 12" e_tot_ev_per_atom=-8.05 pbc="T T T"
Ti 0.682 0.000 1.662
Ti 4.328 1.490 0.431
Ti 3.243 0.000 2.853
Ti 5.387 1.490 5.002
Ti 4.328 -1.490 0.431
Ti 6.473 0.000 2.580
Ti 5.387 -1.490 5.002
Ti 9.033 0.000 3.770
P 4.858 1.794 2.716
P 6.112 0.000 0.000
P 4.858 -1.794 2.716
C 2.759 0.000 0.722
C 6.957 0.000 4.711



5
Lattice="4.111 0.000 0.000 0.000 4.111 0.000 0.000 0.000 4.111" Properties=species:S:1:pos:R:3 comment="Ti3PC PBE relaxed" spacegroup="No. 221" e_tot_ev_per_atom=-8.19 pbc="T T T"
Ti 0.000 0.000 2.056
Ti 0.000 2.056 0.000
Ti 2.056 0.000 0.000
P 2.056 2.056 2.056
C 0.000 0.000 0.000



20
Lattice="9.110 0.000 0.000 0.000 3.195 0.000 -3.411 0.000 8.608" Properties=species:S:1:pos:R:3 comment="Ti6PC3 PBE relaxed" spacegroup="No. 11" e_tot_ev_per_atom=-8.86 pbc="T T T"
Ti -0.971 0.799 3.383
Ti -2.197 0.799 8.174
Ti 1.062 2.396 2.227
Ti 0.057 2.396 6.464
Ti 1.620 0.799 4.604
Ti 3.609 2.396 0.689
Ti 2.090 0.799 7.919
Ti 4.079 2.396 4.004
Ti 5.641 0.799 2.144
Ti 4.636 0.799 6.380
Ti 7.896 2.396 0.433
Ti 6.670 2.396 5.225
P 2.987 0.799 2.467
P 2.711 2.396 6.140
C -0.149 0.799 1.382
C 0.096 2.396 4.225
C -0.046 0.799 7.857
C 5.745 2.396 0.750
C 5.603 0.799 4.382
C 5.847 2.396 7.226



5
Lattice="3.740 0.000 0.000 0.000 3.740 0.000 0.000 0.000 5.765" Properties=species:S:1:pos:R:3 comment="TiZn2PC PBE relaxed" spacegroup="No. 123" e_tot_ev_per_atom=-4.41 pbc="T T T"
Ti 0.000 0.000 0.000
Zn 0.000 1.870 2.883
Zn 1.870 0.000 2.883
P 1.870 1.870 0.000
C 1.870 1.870 2.883